[1]
Here is TiMn2FeAu at its PBEsol-relaxed geometry from Alexandria via LeMat-Bulk. Energies are from SCAN.

abc: 4.104 4.104 4.730
angles: 90.00 90.00 90.00
Space group P4/mmm (No. 123)
Unique sites:
1 Ti 0.000 0.000 0.000 [1 per cell]
2 Mn 0.000 0.500 0.500 [2 per cell]
3 Fe 0.500 0.500 0.500 [1 per cell]
4 Au 0.500 0.500 0.000 [1 per cell]

Computed properties:
The energy of formation from the pure elements is 0.672 eV per atom.

[2]
Here is BaCo3H at its PBEsol-relaxed geometry from Alexandria via LeMat-Bulk. Energies are from SCAN.

abc: 4.833 4.833 4.833
angles: 90.00 90.00 90.00
Space group Pm-3m (No. 221)
Unique sites:
1 Ba 0.000 0.000 0.000 [1 per cell]
2 Co 0.000 0.000 0.500 [3 per cell]
3 H 0.500 0.500 0.500 [1 per cell]

Computed properties:
The value obtained for the uncorrected energy is -81.3 eV per cell.

[3]
Here is Zr2CuRh at its PBEsol-relaxed geometry from Alexandria via LeMat-Bulk. Energies are from SCAN.

abc: 4.194 3.302 10.086
angles: 90.00 90.00 90.00
Space group Amm2 (No. 38)
Unique sites:
1 Zr 0.000 0.000 0.000 [2 per cell]
2 Zr 0.500 0.000 0.285 [2 per cell]
3 Cu 0.000 0.000 0.725 [2 per cell]
4 Rh 0.500 0.000 0.556 [2 per cell]

Computed properties:
The energy of formation from the pure elements is -0.598 eV per atom.

[4]
Here is CaY2Ta at its PBEsol-relaxed geometry from Alexandria via LeMat-Bulk. Energies are from SCAN.

abc: 3.201 3.201 10.634
angles: 90.00 90.00 90.00
Space group P4mm (No. 99)
Unique sites:
1 Ca 0.000 0.000 0.000 [1 per cell]
2 Y 0.000 0.000 0.435 [1 per cell]
3 Y 0.500 0.500 0.710 [1 per cell]
4 Ta 0.500 0.500 0.234 [1 per cell]

Computed properties:
The value obtained for the polymorph energy (0 for the lowest one) is 0.0 meV per atom. The energy of formation from the pure elements is 0.468 eV per atom.

[5]
Here is RbNbP2 at its PBEsol-relaxed geometry from Alexandria via LeMat-Bulk. Energies are from SCAN.

abc: 7.052 7.052 10.379
angles: 90.00 90.00 90.00
Space group I-42d (No. 122)
Unique sites:
1 Rb 0.000 0.000 0.000 [4 per cell]
2 Nb 0.000 0.000 0.500 [4 per cell]
3 P 0.122 0.750 0.625 [8 per cell]

Computed properties:
The energy of formation from the pure elements is -0.391 eV per atom.

[6]
Here is La2NbTcC at its PBEsol-relaxed geometry from Alexandria via LeMat-Bulk. Energies are from SCAN.

abc: 5.440 5.440 3.932
angles: 90.00 90.00 90.00
Space group P4/mmm (No. 123)
Unique sites:
1 La 0.000 0.500 0.000 [2 per cell]
2 Nb 0.000 0.000 0.500 [1 per cell]
3 Tc 0.500 0.500 0.000 [1 per cell]
4 C 0.500 0.500 0.500 [1 per cell]

Computed properties:
The energy of formation from the pure elements is 0.872 eV per atom.

Magnetization (computed, μB per formula unit): 3.25; 4.12; 0.00; 0.08; 0.00; 4.02